Sr2TaO5 | Alexandria | PBE | relaxed; ρ = 6.15 Mg/m³; formation energy from raw total energies = -2719 meV/atom; calculated total energy = -7.72 eV per atom; symmetry = Pnma, No. 62
1.0
7.440 0.000 0.000
0.000 5.759 0.000
0.000 0.000 10.999
Sr Ta O
8 4 20
Direct
0.012 0.250 0.222
0.167 0.750 0.417
0.333 0.250 0.917
0.488 0.750 0.722
0.512 0.250 0.278
0.667 0.750 0.083
0.833 0.250 0.583
0.988 0.750 0.778
0.201 0.750 0.059
0.299 0.250 0.559
0.701 0.750 0.441
0.799 0.250 0.941
0.000 0.000 0.000
0.000 0.500 0.000
0.011 0.750 0.187
0.152 0.001 0.612
0.152 0.499 0.612
0.227 0.250 0.389
0.273 0.750 0.889
0.348 0.501 0.112
0.348 0.999 0.112
0.489 0.250 0.687
0.500 0.000 0.500
0.500 0.500 0.500
0.511 0.750 0.313
0.652 0.001 0.888
0.652 0.499 0.888
0.727 0.250 0.111
0.773 0.750 0.611
0.848 0.501 0.388
0.848 0.999 0.388
0.989 0.250 0.813

=====

SrTa2O6 | Alexandria | PBE | relaxed; ρ = 7.41 Mg/m³; formation energy from raw total energies = -3026 meV/atom; calculated total energy = -9.15 eV per atom; symmetry = Pnma, No. 62; Fermi-level density of states = 0.00 states/eV per cell
1.0
11.175 0.000 0.000
0.000 7.709 0.000
0.000 0.000 5.675
Sr Ta O
4 8 24
Direct
0.040 0.250 0.038
0.460 0.750 0.538
0.540 0.250 0.462
0.960 0.750 0.962
0.142 0.504 0.535
0.142 0.996 0.535
0.358 0.004 0.035
0.358 0.496 0.035
0.642 0.504 0.965
0.642 0.996 0.965
0.858 0.004 0.465
0.858 0.496 0.465
0.024 0.533 0.281
0.024 0.967 0.281
0.130 0.750 0.637
0.146 0.250 0.470
0.215 0.048 0.857
0.215 0.452 0.857
0.285 0.548 0.357
0.285 0.952 0.357
0.354 0.750 0.970
0.370 0.250 0.137
0.476 0.033 0.781
0.476 0.467 0.781
0.524 0.533 0.219
0.524 0.967 0.219
0.630 0.750 0.863
0.646 0.250 0.030
0.715 0.048 0.643
0.715 0.452 0.643
0.785 0.548 0.143
0.785 0.952 0.143
0.854 0.750 0.530
0.870 0.250 0.363
0.976 0.033 0.719
0.976 0.467 0.719

=====

Number 1 is which compound?
Sr2TaO5